# Ce2CdGa4Cu3 GGA-PBE optimized geometry
data_Ce2CdGa4Cu3
_symmetry_space_group_name_H-M 'P -4 m 2'
_symmetry_Int_Tables_number 115
_symmetry_space_group_name_Hall 'P -4 -2'
_cell_length_a 4.234
_cell_length_b 4.234
_cell_length_c 10.525
_cell_angle_alpha 90.00
_cell_angle_beta 90.00
_cell_angle_gamma 90.00
loop_
_atom_site_label
_atom_site_type_symbol
_atom_site_fract_x
_atom_site_fract_y
_atom_site_fract_z
Ce1 Ce 0.000 0.500 0.238
Cd1 Cd 0.000 0.000 0.500
Ga1 Ga 0.000 0.000 0.000
Ga2 Ga 0.000 0.500 0.651
Ga3 Ga 0.500 0.500 0.000
Cu1 Cu 0.000 0.500 0.877
Cu2 Cu 0.500 0.500 0.500
# Theoretical density = 7.59 g cm⁻³
# ΔH_f (0 K) = -371 meV/atom

=====

# CeCdGa2Cu2 GGA-PBE optimized geometry
data_CeCdGa2Cu2
_symmetry_space_group_name_H-M 'P -3 m 1'
_symmetry_Int_Tables_number 164
_symmetry_space_group_name_Hall '-P 3 2"'
_cell_length_a 4.2898
_cell_length_b 4.2898
_cell_length_c 7.0346
_cell_angle_alpha 90.00
_cell_angle_beta 90.00
_cell_angle_gamma 120.00
loop_
_atom_site_label
_atom_site_type_symbol
_atom_site_fract_x
_atom_site_fract_y
_atom_site_fract_z
Ce1 Ce 0.0000 0.0000 0.0000
Cd1 Cd 0.0000 0.0000 0.5000
Ga1 Ga 0.3333 0.6667 0.2662
Cu1 Cu 0.3333 0.6667 0.6976
# Theoretical density = 7.69 g cm⁻³
# ΔH_f (0 K) = -268 meV/atom

=====

# CeCdCuHg GGA-PBE optimized geometry
data_CeCdCuHg
_symmetry_space_group_name_H-M 'F -4 3 m'
_symmetry_Int_Tables_number 216
_symmetry_space_group_name_Hall 'F -4 2 3'
_cell_length_a 7.074
_cell_length_b 7.074
_cell_length_c 7.074
_cell_angle_alpha 90.00
_cell_angle_beta 90.00
_cell_angle_gamma 90.00
loop_
_atom_site_label
_atom_site_type_symbol
_atom_site_fract_x
_atom_site_fract_y
_atom_site_fract_z
Ce1 Ce 0.000 0.000 0.000
Cd1 Cd 0.000 0.000 0.500
Cu1 Cu 0.250 0.250 0.250
Hg1 Hg 0.250 0.250 0.750
# Theoretical density = 9.69 g cm⁻³
# ΔH_f (0 K) = -190 meV/atom

=====

# CeCdInCu GGA-PBE optimized geometry
data_CeCdInCu
_symmetry_space_group_name_H-M 'F -4 3 m'
_symmetry_Int_Tables_number 216
_symmetry_space_group_name_Hall 'F -4 2 3'
_cell_length_a 7.075
_cell_length_b 7.075
_cell_length_c 7.075
_cell_angle_alpha 90.00
_cell_angle_beta 90.00
_cell_angle_gamma 90.00
loop_
_atom_site_label
_atom_site_type_symbol
_atom_site_fract_x
_atom_site_fract_y
_atom_site_fract_z
Ce1 Ce 0.000 0.000 0.000
Cd1 Cd 0.250 0.250 0.750
In1 In 0.000 0.000 0.500
Cu1 Cu 0.250 0.250 0.250
# Theoretical density = 8.08 g cm⁻³
# ΔH_f (0 K) = -195 meV/atom

=====

Copy entry 2 word for word.
# CeCdGa2Cu2 GGA-PBE optimized geometry
data_CeCdGa2Cu2
_symmetry_space_group_name_H-M 'P -3 m 1'
_symmetry_Int_Tables_number 164
_symmetry_space_group_name_Hall '-P 3 2"'
_cell_length_a 4.2898
_cell_length_b 4.2898
_cell_length_c 7.0346
_cell_angle_alpha 90.00
_cell_angle_beta 90.00
_cell_angle_gamma 120.00
loop_
_atom_site_label
_atom_site_type_symbol
_atom_site_fract_x
_atom_site_fract_y
_atom_site_fract_z
Ce1 Ce 0.0000 0.0000 0.0000
Cd1 Cd 0.0000 0.0000 0.5000
Ga1 Ga 0.3333 0.6667 0.2662
Cu1 Cu 0.3333 0.6667 0.6976
# Theoretical density = 7.69 g cm⁻³
# ΔH_f (0 K) = -268 meV/atom

=====

Repeat the first record exactly.
# Ce2CdGa4Cu3 GGA-PBE optimized geometry
data_Ce2CdGa4Cu3
_symmetry_space_group_name_H-M 'P -4 m 2'
_symmetry_Int_Tables_number 115
_symmetry_space_group_name_Hall 'P -4 -2'
_cell_length_a 4.234
_cell_length_b 4.234
_cell_length_c 10.525
_cell_angle_alpha 90.00
_cell_angle_beta 90.00
_cell_angle_gamma 90.00
loop_
_atom_site_label
_atom_site_type_symbol
_atom_site_fract_x
_atom_site_fract_y
_atom_site_fract_z
Ce1 Ce 0.000 0.500 0.238
Cd1 Cd 0.000 0.000 0.500
Ga1 Ga 0.000 0.000 0.000
Ga2 Ga 0.000 0.500 0.651
Ga3 Ga 0.500 0.500 0.000
Cu1 Cu 0.000 0.500 0.877
Cu2 Cu 0.500 0.500 0.500
# Theoretical density = 7.59 g cm⁻³
# ΔH_f (0 K) = -371 meV/atom

=====

Among the records above, which one has the highest ΔH_f (0 K)?
CeCdCuHg

=====

Please write out number 3 again, unchanged.
# CeCdCuHg GGA-PBE optimized geometry
data_CeCdCuHg
_symmetry_space_group_name_H-M 'F -4 3 m'
_symmetry_Int_Tables_number 216
_symmetry_space_group_name_Hall 'F -4 2 3'
_cell_length_a 7.074
_cell_length_b 7.074
_cell_length_c 7.074
_cell_angle_alpha 90.00
_cell_angle_beta 90.00
_cell_angle_gamma 90.00
loop_
_atom_site_label
_atom_site_type_symbol
_atom_site_fract_x
_atom_site_fract_y
_atom_site_fract_z
Ce1 Ce 0.000 0.000 0.000
Cd1 Cd 0.000 0.000 0.500
Cu1 Cu 0.250 0.250 0.250
Hg1 Hg 0.250 0.250 0.750
# Theoretical density = 9.69 g cm⁻³
# ΔH_f (0 K) = -190 meV/atom